1.
Here is a geometry-optimized SmEuHo2 structure from Alexandria. Energies are from GGA-PBE.

```
data_SmEuHo2
_space_group_name_H-M_alt 'P 4/m m m'
_space_group_IT_number 123
_space_group_name_Hall '-P 4 2'
_cell_length_a 3.633
_cell_length_b 3.633
_cell_length_c 10.253
_cell_angle_alpha 90.00
_cell_angle_beta 90.00
_cell_angle_gamma 90.00
loop_
_atom_site_label
_atom_site_type_symbol
_atom_site_fract_x
_atom_site_fract_y
_atom_site_fract_z
Sm1 Sm 0.000 0.000 0.000
Eu1 Eu 0.000 0.000 0.500
Ho1 Ho 0.500 0.500 0.237
```

## Properties
Polymorph energy (0 for the lowest one) (meV per atom): 0
DFT formation energy (eV/atom): 0.0642
Volume (Å³ per atom): 33.8

***

2.
Here is a geometry-optimized SmEuHo2 structure from Alexandria. Energies are from GGA-PBE.

```
data_SmEuHo2
_space_group_name_H-M_alt 'P 4/m m m'
_space_group_IT_number 123
_space_group_name_Hall '-P 4 2'
_cell_length_a 5.116
_cell_length_b 5.116
_cell_length_c 5.092
_cell_angle_alpha 90.00
_cell_angle_beta 90.00
_cell_angle_gamma 90.00
loop_
_atom_site_label
_atom_site_type_symbol
_atom_site_fract_x
_atom_site_fract_y
_atom_site_fract_z
Sm1 Sm 0.000 0.000 0.000
Eu1 Eu 0.500 0.500 0.000
Ho1 Ho 0.000 0.500 0.500
```

## Properties
Polymorph energy (0 for the lowest one) (meV per atom): 24
DFT formation energy (eV/atom): 0.0882
Volume (Å³ per atom): 33.3

***

3.
Here is a geometry-optimized SrSmEuHo structure from Alexandria. Energies are from GGA-PBE.

```
data_SrSmEuHo
_space_group_name_H-M_alt 'F -4 3 m'
_space_group_IT_number 216
_space_group_name_Hall 'F -4 2 3'
_cell_length_a 8.491
_cell_length_b 8.491
_cell_length_c 8.491
_cell_angle_alpha 90.00
_cell_angle_beta 90.00
_cell_angle_gamma 90.00
loop_
_atom_site_label
_atom_site_type_symbol
_atom_site_fract_x
_atom_site_fract_y
_atom_site_fract_z
Sr1 Sr 0.000 0.000 0.000
Sm1 Sm 0.250 0.250 0.250
Eu1 Eu 0.250 0.250 0.750
Ho1 Ho 0.000 0.000 0.500
```

## Properties
DFT formation energy (eV/atom): 0.2079
Volume (Å³ per atom): 38.3

***

4.
Here is a geometry-optimized SmEuHoTh structure from Alexandria. Energies are from GGA-PBE.

```
data_SmEuHoTh
_space_group_name_H-M_alt 'F -4 3 m'
_space_group_IT_number 216
_space_group_name_Hall 'F -4 2 3'
_cell_length_a 8.162
_cell_length_b 8.162
_cell_length_c 8.162
_cell_angle_alpha 90.00
_cell_angle_beta 90.00
_cell_angle_gamma 90.00
loop_
_atom_site_label
_atom_site_type_symbol
_atom_site_fract_x
_atom_site_fract_y
_atom_site_fract_z
Sm1 Sm 0.000 0.000 0.000
Eu1 Eu 0.250 0.250 0.750
Ho1 Ho 0.000 0.000 0.500
Th1 Th 0.250 0.250 0.250
```

## Properties
DFT formation energy (eV/atom): 0.2136
Volume (Å³ per atom): 34.0

***

5.
Here is a geometry-optimized SmEuHoTl structure from Alexandria. Energies are from GGA-PBE.

```
data_SmEuHoTl
_space_group_name_H-M_alt 'F -4 3 m'
_space_group_IT_number 216
_space_group_name_Hall 'F -4 2 3'
_cell_length_a 7.855
_cell_length_b 7.855
_cell_length_c 7.855
_cell_angle_alpha 90.00
_cell_angle_beta 90.00
_cell_angle_gamma 90.00
loop_
_atom_site_label
_atom_site_type_symbol
_atom_site_fract_x
_atom_site_fract_y
_atom_site_fract_z
Sm1 Sm 0.000 0.000 0.000
Eu1 Eu 0.250 0.250 0.250
Ho1 Ho 0.000 0.000 0.500
Tl1 Tl 0.250 0.250 0.750
```

## Properties
DFT formation energy (eV/atom): -0.0369
Volume (Å³ per atom): 30.3

***

6.
Here is a geometry-optimized SmEuHoTm structure from Alexandria. Energies are from GGA-PBE.

```
data_SmEuHoTm
_space_group_name_H-M_alt 'F -4 3 m'
_space_group_IT_number 216
_space_group_name_Hall 'F -4 2 3'
_cell_length_a 8.112
_cell_length_b 8.112
_cell_length_c 8.112
_cell_angle_alpha 90.00
_cell_angle_beta 90.00
_cell_angle_gamma 90.00
loop_
_atom_site_label
_atom_site_type_symbol
_atom_site_fract_x
_atom_site_fract_y
_atom_site_fract_z
Sm1 Sm 0.000 0.000 0.000
Eu1 Eu 0.000 0.000 0.500
Ho1 Ho 0.250 0.250 0.250
Tm1 Tm 0.250 0.250 0.750
```

## Properties
DFT formation energy (eV/atom): 0.1542
Volume (Å³ per atom): 33.4

***

7.
Here is a geometry-optimized EuHoSn2 structure from Alexandria. Energies are from GGA-PBE.

```
data_EuHoSn2
_space_group_name_H-M_alt 'P 4/m m m'
_space_group_IT_number 123
_space_group_name_Hall '-P 4 2'
_cell_length_a 4.979
_cell_length_b 4.979
_cell_length_c 4.462
_cell_angle_alpha 90.00
_cell_angle_beta 90.00
_cell_angle_gamma 90.00
loop_
_atom_site_label
_atom_site_type_symbol
_atom_site_fract_x
_atom_site_fract_y
_atom_site_fract_z
Eu1 Eu 0.000 0.000 0.000
Ho1 Ho 0.500 0.500 0.000
Sn1 Sn 0.000 0.500 0.500
```

## Properties
Polymorph energy (0 for the lowest one) (meV per atom): 16
DFT formation energy (eV/atom): -0.5990
Volume (Å³ per atom): 27.7

***

8.
Here is a geometry-optimized EuHoSn2 structure from Alexandria. Energies are from GGA-PBE.

```
data_EuHoSn2
_space_group_name_H-M_alt 'P 4/m m m'
_space_group_IT_number 123
_space_group_name_Hall '-P 4 2'
_cell_length_a 4.005
_cell_length_b 4.005
_cell_length_c 7.130
_cell_angle_alpha 90.00
_cell_angle_beta 90.00
_cell_angle_gamma 90.00
loop_
_atom_site_label
_atom_site_type_symbol
_atom_site_fract_x
_atom_site_fract_y
_atom_site_fract_z
Eu1 Eu 0.000 0.000 0.000
Ho1 Ho 0.000 0.000 0.500
Sn1 Sn 0.500 0.500 0.278
```

## Properties
Polymorph energy (0 for the lowest one) (meV per atom): 0
DFT formation energy (eV/atom): -0.6149
Volume (Å³ per atom): 28.6

***

9.
Here is a geometry-optimized EuHoSn2 structure from Alexandria. Energies are from GGA-PBE.

```
data_EuHoSn2
_space_group_name_H-M_alt 'F m -3 m'
_space_group_IT_number 225
_space_group_name_Hall '-F 4 2 3'
_cell_length_a 7.678
_cell_length_b 7.678
_cell_length_c 7.678
_cell_angle_alpha 90.00
_cell_angle_beta 90.00
_cell_angle_gamma 90.00
loop_
_atom_site_label
_atom_site_type_symbol
_atom_site_fract_x
_atom_site_fract_y
_atom_site_fract_z
Eu1 Eu 0.000 0.000 0.000
Ho1 Ho 0.000 0.000 0.500
Sn1 Sn 0.250 0.250 0.250
```

## Properties
Polymorph energy (0 for the lowest one) (meV per atom): 51
DFT formation energy (eV/atom): -0.5637
Volume (Å³ per atom): 28.3

***

10.
Here is a geometry-optimized EuHoTlSn structure from Alexandria. Energies are from GGA-PBE.

```
data_EuHoTlSn
_space_group_name_H-M_alt 'F -4 3 m'
_space_group_IT_number 216
_space_group_name_Hall 'F -4 2 3'
_cell_length_a 7.703
_cell_length_b 7.703
_cell_length_c 7.703
_cell_angle_alpha 90.00
_cell_angle_beta 90.00
_cell_angle_gamma 90.00
loop_
_atom_site_label
_atom_site_type_symbol
_atom_site_fract_x
_atom_site_fract_y
_atom_site_fract_z
Eu1 Eu 0.000 0.000 0.000
Ho1 Ho 0.000 0.000 0.500
Tl1 Tl 0.250 0.250 0.250
Sn1 Sn 0.250 0.250 0.750
```

## Properties
DFT formation energy (eV/atom): -0.4738
Volume (Å³ per atom): 28.6

***

11.
Here is a geometry-optimized SrEuHo2 structure from Alexandria. Energies are from GGA-PBE.

```
data_SrEuHo2
_space_group_name_H-M_alt 'R -3 m'
_space_group_IT_number 166
_space_group_name_Hall '-R 3 2"'
_cell_length_a 3.6471
_cell_length_b 3.6471
_cell_length_c 39.0915
_cell_angle_alpha 90.00
_cell_angle_beta 90.00
_cell_angle_gamma 120.00
loop_
_atom_site_label
_atom_site_type_symbol
_atom_site_fract_x
_atom_site_fract_y
_atom_site_fract_z
Sr1 Sr 0.0000 0.0000 0.0000
Eu1 Eu 0.0000 0.0000 0.5000
Ho1 Ho 0.0000 0.0000 0.0901
```

## Properties
DFT formation energy (eV/atom): 0.2970
Volume (Å³ per atom): 37.5

***

12.
Here is a geometry-optimized SrEuHo structure from Alexandria. Energies are from GGA-PBE.

```
data_SrEuHo
_space_group_name_H-M_alt 'P 3 m 1'
_space_group_IT_number 156
_cell_length_a 3.8406
_cell_length_b 3.8406
_cell_length_c 9.4967
_cell_angle_alpha 90.00
_cell_angle_beta 90.00
_cell_angle_gamma 120.00
loop_
_space_group_symop_operation_xyz
'x,y,z'
'-y,x-y,z'
'-x+y,-x,z'
'-y,-x,z'
'-x+y,y,z'
'x,x-y,z'
loop_
_atom_site_label
_atom_site_type_symbol
_atom_site_fract_x
_atom_site_fract_y
_atom_site_fract_z
Sr1 Sr 0.0000 0.0000 0.0000
Eu1 Eu 0.3333 0.6667 0.6373
Ho1 Ho 0.6667 0.3333 0.3332
```

## Properties
Polymorph energy (0 for the lowest one) (meV per atom): 4
DFT formation energy (eV/atom): 0.1493
Volume (Å³ per atom): 40.4